Run i
Here is a relaxed MnSnPtO crystal from Alexandria. Energies are from PBE with a Hubbard U.

The space group is Cm (No. 8) and the conventional cell measures 6.0950, 3.5242 and 7.5162 Å, with angles of 90.00, 105.69 and 90.00 degrees. Symmetry generates all atoms from Mn at (0.0000, 0.0000, 0.0000), Sn at (0.3638, 0.5000, 0.5889), Pt at (0.4514, 0.0000, 0.3526) and O at (0.3494, 0.0000, 0.0475).

The calculation puts the theoretical density at 8.22 g/cm³. The magnetic moment is 4.93 μB/f.u.

Run ii
Here is a relaxed MnSnPtO crystal from Alexandria. Energies are from PBE with a Hubbard U.

The space group is Cm (No. 8) and the conventional cell measures 10.1404, 3.2038 and 4.6975 Å, with angles of 90.00, 114.27 and 90.00 degrees. Symmetry generates all atoms from Mn at (0.0000, 0.0000, 0.0000), Sn at (0.3380, 0.0000, 0.3156), Pt at (0.1884, 0.5000, 0.5303) and O at (0.0297, 0.5000, 0.7487).

The calculation puts the theoretical density at 9.18 g/cm³. The magnetic moment is 4.95 μB/f.u.

Stability, descending: run i, run ii

Run i
Here is a relaxed Rb4MnO4 crystal from Alexandria. Energies are from PBE with a Hubbard U.

The space group is P4_2/nmc (No. 137, origin choice 2) and the conventional cell measures 7.9358, 7.9358 and 6.0779 Å, with angles of 90.00, 90.00 and 90.00 degrees. Symmetry generates all atoms from Rb at (0.0324, 0.2500, 0.1195), Mn at (0.2500, 0.7500, 0.2500) and O at (0.0531, 0.7500, 0.4110).

The calculation puts the theoretical density at 4.00 g/cm³. The magnetic moment is 3.00 μB/f.u.

Run ii
Here is a relaxed Rb4MnO4 crystal from Alexandria. Energies are from PBE with a Hubbard U.

The space group is I-42m (No. 121) and the conventional cell measures 6.7843, 6.7843 and 11.2116 Å, with angles of 90.00, 90.00 and 90.00 degrees. Symmetry generates all atoms from Rb at (0.0000, 0.0000, 0.2071), Rb at (0.0000, 0.5000, 0.0000), Mn at (0.0000, 0.0000, 0.5000) and O at (0.1592, 0.1592, 0.5907).

The calculation puts the theoretical density at 2.97 g/cm³. The magnetic moment is 3.00 μB/f.u.

Stability, descending: run i, run ii

Run i
Here is a relaxed Mn3ReO crystal from Alexandria. Energies are from PBE with a Hubbard U.

The space group is Pm-3m (No. 221) and the conventional cell measures 4.9815, 4.9815 and 4.9815 Å, with angles of 90.00, 90.00 and 90.00 degrees. Symmetry generates all atoms from Mn at (0.0000, 0.0000, 0.5000), Re at (0.0000, 0.0000, 0.0000) and O at (0.5000, 0.5000, 0.5000).

The calculation puts the theoretical density at 4.93 g/cm³. The magnetic moment is 11.73 μB/f.u.

Run ii
Here is a relaxed Mn3ReO crystal from Alexandria. Energies are from PBE with a Hubbard U.

The space group is Pm-3m (No. 221) and the conventional cell measures 3.8608, 3.8608 and 3.8608 Å, with angles of 90.00, 90.00 and 90.00 degrees. Symmetry generates all atoms from Mn at (0.0000, 0.0000, 0.5000), Re at (0.5000, 0.5000, 0.5000) and O at (0.0000, 0.0000, 0.0000).

The calculation puts the theoretical density at 10.59 g/cm³. The magnetic moment is 1.69 μB/f.u.

Stability, descending: run ii, run i